The following is a PBE-GGA calculation of a geometry-optimized LiYBAu structure, from the Open Quantum Materials Database.

a b c (Å): 6.360 6.360 6.360
angles (deg): 90.00 90.00 90.00
Fractional coordinates of all 16 atoms:
Li 0.000 0.000 0.000
Li 0.000 0.500 0.500
Li 0.500 0.000 0.500
Li 0.500 0.500 0.000
Y 0.250 0.250 0.250
Y 0.250 0.750 0.750
Y 0.750 0.250 0.750
Y 0.750 0.750 0.250
B 0.250 0.250 0.750
B 0.250 0.750 0.250
B 0.750 0.250 0.250
B 0.750 0.750 0.750
Au 0.000 0.000 0.500
Au 0.000 0.500 0.000
Au 0.500 0.000 0.000
Au 0.500 0.500 0.500

Crystal system: cubic
Theoretical density, g/cm³: 7.84
ΔE to the lowest computed polymorph, meV/atom: 248.7

***

The following is a PBE-GGA calculation of a geometry-optimized LiYBAu structure, from the Open Quantum Materials Database.

a b c (Å): 6.209 6.209 6.209
angles (deg): 90.00 90.00 90.00
Fractional coordinates of all 16 atoms:
Li 0.000 0.000 0.000
Li 0.000 0.500 0.500
Li 0.500 0.000 0.500
Li 0.500 0.500 0.000
Y 0.250 0.250 0.250
Y 0.250 0.750 0.750
Y 0.750 0.250 0.750
Y 0.750 0.750 0.250
B 0.000 0.000 0.500
B 0.000 0.500 0.000
B 0.500 0.000 0.000
B 0.500 0.500 0.500
Au 0.250 0.250 0.750
Au 0.250 0.750 0.250
Au 0.750 0.250 0.250
Au 0.750 0.750 0.750

Crystal system: cubic
Theoretical density, g/cm³: 8.42
ΔE to the lowest computed polymorph, meV/atom: 0.0

***

The following is a PBE-GGA calculation of a geometry-optimized Lu4B3Au structure, from the Open Quantum Materials Database.

a b c (Å): 3.539 3.539 27.900
angles (deg): 90.00 90.00 120.00
Fractional coordinates of all 16 atoms:
Lu 0.000 0.000 0.171
Lu 0.000 0.000 0.329
Lu 0.000 0.000 0.671
Lu 0.000 0.000 0.829
Lu 0.333 0.667 0.058
Lu 0.333 0.667 0.442
Lu 0.667 0.333 0.558
Lu 0.667 0.333 0.942
B 0.000 0.000 0.000
B 0.000 0.000 0.500
B 0.333 0.667 0.619
B 0.333 0.667 0.881
B 0.667 0.333 0.119
B 0.667 0.333 0.381
Au 0.333 0.667 0.250
Au 0.667 0.333 0.750

Crystal system: hexagonal
Theoretical density, g/cm³: 10.20
Energy, eV for the cell shown: -83.7

***

The following is a PBE-GGA calculation of a geometry-optimized Lu2BAu structure, from the Open Quantum Materials Database.

a b c (Å): 3.795 3.795 13.468
angles (deg): 90.00 90.00 120.00
Fractional coordinates of all 8 atoms:
Lu 0.333 0.667 0.097
Lu 0.333 0.667 0.403
Lu 0.667 0.333 0.597
Lu 0.667 0.333 0.903
B 0.000 0.000 0.000
B 0.000 0.000 0.500
Au 0.333 0.667 0.750
Au 0.667 0.333 0.250

Crystal system: hexagonal
Theoretical density, g/cm³: 11.03
ΔE to the lowest computed polymorph, meV/atom: 0.0